1.
First-principles (PBE) data for crystalline GdPaHgPb at its relaxed geometry, as listed in Alexandria.

## Properties
* theoretical density: 12.0 Mg/m³
* total magnetic moment: 9.7 μB per formula unit
* ΔE_f: -0.090 eV/atom
* N(E_F): 9.994 states/eV per cell

Lattice parameters (Å, degrees): 5.377 5.377 5.377 60.00 60.00 60.00
Fractional coordinates of all 4 atoms:
Gd1 0.000 0.000 0.000
Pa1 0.500 0.500 0.500
Hg1 0.750 0.750 0.750
Pb1 0.250 0.250 0.250

---

2.
First-principles (PBE) data for crystalline GdPaHgPt at its relaxed geometry, as listed in Alexandria.

## Properties
* theoretical density: 13.7 Mg/m³
* total magnetic moment: 7.9 μB per formula unit
* ΔE_f: -0.437 eV/atom
* N(E_F): 6.124 states/eV per cell

Lattice parameters (Å, degrees): 5.127 5.127 5.127 60.00 60.00 60.00
Fractional coordinates of all 4 atoms:
Gd1 0.000 0.000 0.000
Pa1 0.500 0.500 0.500
Hg1 0.250 0.250 0.250
Pt1 0.750 0.750 0.750

---

3.
First-principles (PBE) data for crystalline GdPaSnHg at its relaxed geometry, as listed in Alexandria.

## Properties
* theoretical density: 11.0 Mg/m³
* total magnetic moment: 9.4 μB per formula unit
* ΔE_f: -0.209 eV/atom
* N(E_F): 9.844 states/eV per cell

Lattice parameters (Å, degrees): 5.332 5.332 5.332 60.00 60.00 60.00
Fractional coordinates of all 4 atoms:
Gd1 0.000 0.000 0.000
Pa1 0.500 0.500 0.500
Sn1 0.250 0.250 0.250
Hg1 0.750 0.750 0.750

---

4.
First-principles (PBE) data for crystalline GdPaTcHg at its relaxed geometry, as listed in Alexandria.

## Properties
* theoretical density: 12.4 Mg/m³
* total magnetic moment: 7.1 μB per formula unit
* ΔE_f: 0.029 eV/atom
* N(E_F): 4.507 states/eV per cell

Lattice parameters (Å, degrees): 5.071 5.071 5.071 60.00 60.00 60.00
Fractional coordinates of all 4 atoms:
Gd1 0.000 0.000 0.000
Pa1 0.500 0.500 0.500
Tc1 0.750 0.750 0.750
Hg1 0.250 0.250 0.250

---

5.
First-principles (PBE) data for crystalline GdPaTlHg at its relaxed geometry, as listed in Alexandria.

## Properties
* theoretical density: 12.1 Mg/m³
* total magnetic moment: 6.4 μB per formula unit
* ΔE_f: 0.009 eV/atom
* N(E_F): 7.275 states/eV per cell

Lattice parameters (Å, degrees): 5.352 5.352 5.352 60.00 60.00 60.00
Fractional coordinates of all 4 atoms:
Gd1 0.000 0.000 0.000
Pa1 0.500 0.500 0.500
Tl1 0.750 0.750 0.750
Hg1 0.250 0.250 0.250

---

6.
First-principles (PBE) data for crystalline GdPaZnHg at its relaxed geometry, as listed in Alexandria.

## Properties
* theoretical density: 10.9 Mg/m³
* total magnetic moment: 9.3 μB per formula unit
* ΔE_f: -0.022 eV/atom
* N(E_F): 8.199 states/eV per cell

Lattice parameters (Å, degrees): 5.200 5.200 5.200 60.00 60.00 60.00
Fractional coordinates of all 4 atoms:
Gd1 0.000 0.000 0.000
Pa1 0.500 0.500 0.500
Zn1 0.250 0.250 0.250
Hg1 0.750 0.750 0.750